#a
A plane-wave DFT calculation with PBE was carried out for a relaxed BaBe2Ir crystal.

The structure in POSCAR format:
```
BaBe2Ir
1.0
4.760 0.000 0.000
0.000 4.760 0.000
0.000 0.000 2.967
Ba Be Ir
1 2 1
direct
0.000 0.000 0.000
0.000 0.500 0.500
0.500 0.000 0.500
0.500 0.500 0.000
```

## Properties
**V**: 67 Å³ per cell
**Space-group type**: P4/mmm
**Fermi-level density of states**: 2.5 states/eV per cell

***

#b
A plane-wave DFT calculation with PBE was carried out for a relaxed BaBe2Ir crystal.

The structure in POSCAR format:
```
BaBe2Ir
1.0
4.268 0.000 0.000
0.000 4.268 0.000
0.000 0.000 4.299
Ba Be Ir
1 2 1
direct
0.000 0.000 0.000
0.000 0.500 0.500
0.500 0.000 0.500
0.500 0.500 0.000
```

## Properties
**V**: 78 Å³ per cell
**Space-group type**: P4/mmm
**Fermi-level density of states**: 3.3 states/eV per cell

***

Quick ranking, most stable first: #a, #b.